(1)
This record from Alexandria via LeMat-Bulk describes crystalline Ce3Si4Au2 at its relaxed geometry. The functional is PBE.

E_form (uncorrected): -0.737 eV/atom
Calculated volume: 384.2 Å³ per cell
N(E_F): 1.71 states/eV/atom

a = 11.035 Å, b = 4.250 Å, c = 8.359 Å
α = 90.00°, β = 101.45°, γ = 90.00°
Space group C2/m (No. 12)
Symmetry-distinct sites (fractional):
Ce1 0.000 0.000 0.000 (multiplicity 2)
Ce2 0.163 0.500 0.674 (multiplicity 4)
Si1 0.058 0.000 0.396 (multiplicity 4)
Si2 0.224 0.500 0.050 (multiplicity 4)
Au1 0.114 0.500 0.280 (multiplicity 4)

=====

(2)
This record from Alexandria via LeMat-Bulk describes crystalline CeSi2Au at its relaxed geometry. The functional is PBE.

E_form (uncorrected): -0.594 eV/atom
Calculated volume: 627.2 Å³ per cell
N(E_F): 1.23 states/eV/atom

a = 13.750 Å, b = 4.247 Å, c = 10.742 Å
α = 90.00°, β = 90.00°, γ = 90.00°
Space group Pnma (No. 62)
Symmetry-distinct sites (fractional):
Ce1 0.048 0.250 0.244 (multiplicity 4)
Ce2 0.194 0.750 0.970 (multiplicity 4)
Si1 0.025 0.250 0.961 (multiplicity 4)
Si2 0.115 0.250 0.778 (multiplicity 4)
Si3 0.132 0.750 0.463 (multiplicity 4)
Si4 0.208 0.750 0.270 (multiplicity 4)
Au1 0.060 0.250 0.556 (multiplicity 4)
Au2 0.222 0.750 0.672 (multiplicity 4)

=====

(3)
This record from Alexandria via LeMat-Bulk describes crystalline Ce7Si5Au at its relaxed geometry. The functional is PBE.

E_form (uncorrected): -0.432 eV/atom
Calculated volume: 633.0 Å³ per cell
N(E_F): 2.29 states/eV/atom

a = 5.981 Å, b = 10.622 Å, c = 9.963 Å
α = 90.00°, β = 90.00°, γ = 90.00°
Space group Imm2 (No. 44)
Symmetry-distinct sites (fractional):
Ce1 0.000 0.000 0.000 (multiplicity 2)
Ce2 0.000 0.000 0.402 (multiplicity 2)
Ce3 0.000 0.309 0.708 (multiplicity 4)
Ce4 0.000 0.333 0.152 (multiplicity 4)
Ce5 0.000 0.500 0.365 (multiplicity 2)
Si1 0.000 0.500 0.916 (multiplicity 2)
Si2 0.206 0.259 0.438 (multiplicity 8)
Au1 0.000 0.000 0.703 (multiplicity 2)

=====

(4)
This record from Alexandria via LeMat-Bulk describes crystalline CeSi2Au5 at its relaxed geometry. The functional is PBE.

E_form (uncorrected): -0.332 eV/atom
Calculated volume: 313.0 Å³ per cell
N(E_F): 1.15 states/eV/atom

a = 4.318 Å, b = 7.246 Å, c = 10.002 Å
α = 90.00°, β = 90.00°, γ = 90.00°
Space group Immm (No. 71)
Symmetry-distinct sites (fractional):
Ce1 0.000 0.000 0.000 (multiplicity 2)
Si1 0.000 0.500 0.248 (multiplicity 4)
Au1 0.000 0.201 0.354 (multiplicity 8)
Au2 0.000 0.500 0.000 (multiplicity 2)

=====

(5)
This record from Alexandria via LeMat-Bulk describes crystalline CeSi3Au at its relaxed geometry. The functional is PBE.

E_form (uncorrected): -0.425 eV/atom
Calculated volume: 194.6 Å³ per cell
N(E_F): 1.08 states/eV/atom

a = 4.356 Å, b = 4.080 Å, c = 11.090 Å
α = 90.00°, β = 99.16°, γ = 90.00°
Space group P2/m (No. 10)
Symmetry-distinct sites (fractional):
Ce1 0.188 0.000 0.344 (multiplicity 2)
Si1 0.099 0.500 0.106 (multiplicity 2)
Si2 0.272 0.500 0.548 (multiplicity 2)
Si3 0.431 0.000 0.099 (multiplicity 2)
Au1 0.325 0.500 0.774 (multiplicity 2)

=====

(6)
This record from Alexandria via LeMat-Bulk describes crystalline CeSi2Au2 at its relaxed geometry. The functional is PBE.

E_form (uncorrected): -0.579 eV/atom
Calculated volume: 192.5 Å³ per cell
N(E_F): 1.36 states/eV/atom

a = 4.334 Å, b = 4.334 Å, c = 10.245 Å
α = 90.00°, β = 90.00°, γ = 90.00°
Space group I4/mmm (No. 139)
Symmetry-distinct sites (fractional):
Ce1 0.000 0.000 0.000 (multiplicity 2)
Si1 0.000 0.000 0.387 (multiplicity 4)
Au1 0.000 0.500 0.250 (multiplicity 4)